Record 1
Density functional theory data (PBE) for a relaxed ZnPt2Pb2 crystal.

## Properties
Density   13.53 g cm⁻³
Calculated volume   213.6 Å³/cell
Electronic total energy   -4.2693 eV/atom
Space group   P4/mbm, No. 127
Energy relative to the lowest polymorph listed for this composition   0.00 eV per formula unit

a = 6.9805 Å, b = 6.9805 Å, c = 4.3835 Å
α = 90.00°, β = 90.00°, γ = 90.00°
Closest atoms and distances in Å follow each position.
Atoms (fractional coordinates):
Zn  0.0000  0.0000  0.0000  4 Pt 2.67
Zn  0.5000  0.5000  0.0000  4 Pt 2.67
Pt  0.1467  0.3533  0.0000  2 Zn 2.67, 2 Pb 2.87, 1 Pt 2.90
Pt  0.3533  0.8533  0.0000  2 Zn 2.67, 2 Pb 2.87, 1 Pt 2.90
Pt  0.6467  0.1467  0.0000  2 Zn 2.67, 2 Pb 2.87, 1 Pt 2.90
Pt  0.8533  0.6467  0.0000  2 Zn 2.67, 2 Pb 2.87, 1 Pt 2.90
Pb  0.1651  0.6651  0.5000  6 Pt 2.87-3.09
Pb  0.3349  0.1651  0.5000  6 Pt 2.87-3.09
Pb  0.6651  0.8349  0.5000  6 Pt 2.87-3.09
Pb  0.8349  0.3349  0.5000  6 Pt 2.87-3.09

Record 2
Density functional theory data (PBE) for a relaxed In6Ga3Hg crystal.

## Properties
Density   7.26 g cm⁻³
Calculated volume   502.7 Å³/cell
Electronic total energy   -2.5371 eV/atom
Space group   P2_1/c, No. 14

a = 9.3314 Å, b = 5.7341 Å, c = 12.1754 Å
α = 90.00°, β = 129.49°, γ = 90.00°
Closest atoms and distances in Å follow each position.
Atoms (fractional coordinates):
In  0.0743  0.0517  0.3997  2 Ga 3.08-3.11, 3 In 3.23-3.32, 1 Hg 3.34
In  0.0743  0.4483  0.8997  2 Ga 3.08-3.11, 3 In 3.23-3.32, 1 Hg 3.34
In  0.2743  0.5428  0.4432  2 Ga 3.06-3.07, 1 Hg 3.15, 4 In 3.23-3.32
In  0.2743  0.9572  0.9432  2 Ga 3.06-3.07, 1 Hg 3.15, 4 In 3.23-3.32
In  0.3824  0.7024  0.2312  4 Ga 2.98-3.29, 1 Hg 3.20, 1 In 3.31
In  0.3824  0.7976  0.7312  4 Ga 2.98-3.29, 1 Hg 3.20, 1 In 3.31
In  0.6176  0.2024  0.2688  4 Ga 2.98-3.29, 1 Hg 3.20, 1 In 3.31
In  0.6176  0.2976  0.7688  4 Ga 2.98-3.29, 1 Hg 3.20, 1 In 3.31
In  0.7257  0.0428  0.0568  2 Ga 3.06-3.07, 1 Hg 3.15, 4 In 3.23-3.32
In  0.7257  0.4572  0.5568  2 Ga 3.06-3.07, 1 Hg 3.15, 4 In 3.23-3.32
In  0.9257  0.5517  0.1003  2 Ga 3.08-3.11, 3 In 3.23-3.32, 1 Hg 3.34
In  0.9257  0.9483  0.6003  2 Ga 3.08-3.11, 3 In 3.23-3.32, 1 Hg 3.34
Ga  0.0000  0.0000  0.0000  2 Ga 2.62
Ga  0.0000  0.5000  0.5000  2 Ga 2.62
Ga  0.2605  0.2238  0.2344  1 Ga 2.62, 1 Hg 2.81
Ga  0.2605  0.2762  0.7344  1 Ga 2.62, 1 Hg 2.81
Ga  0.7395  0.7238  0.2656  1 Ga 2.62, 1 Hg 2.81
Ga  0.7395  0.7762  0.7656  1 Ga 2.62, 1 Hg 2.81
Hg  0.5000  0.0000  0.5000  2 Ga 2.81
Hg  0.5000  0.5000  0.0000  2 Ga 2.81

Record 3
Density functional theory data (PBE) for a relaxed Ta5In crystal.

## Properties
Density   14.44 g cm⁻³
Calculated volume   117.2 Å³/cell
Electronic total energy   -10.0142 eV/atom
Space group   F-43m, No. 216
Energy relative to the lowest polymorph listed for this composition   1.53 eV per formula unit

a = 5.4935 Å, b = 5.4935 Å, c = 5.4935 Å
α = 60.00°, β = 60.00°, γ = 60.00°
Closest atoms and distances in Å follow each position.
Atoms (fractional coordinates):
Ta  0.0000  0.0000  0.0000  12 Ta 3.22, 4 In 3.36
Ta  0.1208  0.6264  0.6264  6 Ta 2.72-2.78
Ta  0.6264  0.1208  0.6264  6 Ta 2.72-2.78
Ta  0.6264  0.6264  0.1208  6 Ta 2.72-2.78
Ta  0.6264  0.6264  0.6264  6 Ta 2.72-2.78
In  0.2500  0.2500  0.2500  16 Ta 3.22-3.36

Record 4
Density functional theory data (PBE) for a relaxed Zr2GaFeH crystal.

## Properties
Density   7.00 g cm⁻³
Calculated volume   73.3 Å³/cell
Electronic total energy   -6.7499 eV/atom
Space group   P4/mmm, No. 123

a = 4.4979 Å, b = 4.4979 Å, c = 3.6251 Å
α = 90.00°, β = 90.00°, γ = 90.00°
Closest atoms and distances in Å follow each position.
Atoms (fractional coordinates):
Zr  0.0000  0.5000  0.0000  2 H 2.25
Zr  0.5000  0.0000  0.0000  2 H 2.25
Ga  0.0000  0.0000  0.5000  8 Zr 2.89, 4 Fe 3.18
Fe  0.5000  0.5000  0.5000  2 H 1.81
H  0.5000  0.5000  0.0000  2 Fe 1.81

Record 5
Density functional theory data (PBE) for a relaxed CuIr crystal.

## Properties
Density   8.45 g cm⁻³
Calculated volume   301.7 Å³/cell
Electronic total energy   -4.6813 eV/atom
Space group   Pm-3n, No. 223

a = 6.7073 Å, b = 6.7073 Å, c = 6.7073 Å
α = 90.00°, β = 90.00°, γ = 90.00°
Closest atoms and distances in Å follow each position.
Atoms (fractional coordinates):
Cu  0.0000  0.2500  0.5000  4 Ir 2.37
Cu  0.0000  0.7500  0.5000  4 Ir 2.37
Cu  0.2500  0.5000  0.0000  4 Ir 2.37
Cu  0.5000  0.0000  0.2500  4 Ir 2.37
Cu  0.5000  0.0000  0.7500  4 Ir 2.37
Cu  0.7500  0.5000  0.0000  4 Ir 2.37
Ir  0.0000  0.5000  0.2500  4 Cu 2.37
Ir  0.0000  0.5000  0.7500  4 Cu 2.37
Ir  0.2500  0.0000  0.5000  4 Cu 2.37
Ir  0.5000  0.2500  0.0000  4 Cu 2.37
Ir  0.5000  0.7500  0.0000  4 Cu 2.37
Ir  0.7500  0.0000  0.5000  4 Cu 2.37

Record 6
Density functional theory data (PBE) for a relaxed Mg2TlInPb crystal.

## Properties
Density   7.06 g cm⁻³
Calculated volume   270.7 Å³/cell
Electronic total energy   -2.3933 eV/atom
Space group   C2/m, No. 12

a = 5.9491 Å, b = 5.9491 Å, c = 10.0260 Å
α = 98.06°, β = 98.06°, γ = 50.54°
Closest atoms and distances in Å follow each position.
Atoms (fractional coordinates):
Mg  0.1383  0.1383  0.4511  3 In 3.16-3.21, 1 Tl 3.21, 3 Mg 3.27-3.53, 3 Pb 3.28-3.33
Mg  0.2732  0.2732  0.0827  1 In 3.00, 2 Mg 3.03, 2 Pb 3.27, 3 Tl 3.28-3.34
Mg  0.7268  0.7268  0.9173  1 In 3.00, 2 Mg 3.03, 2 Pb 3.27, 3 Tl 3.28-3.34
Mg  0.8617  0.8617  0.5489  3 In 3.16-3.21, 1 Tl 3.21, 3 Mg 3.27-3.53, 3 Pb 3.28-3.33
Tl  0.0255  0.0255  0.8457  5 Mg 3.21-3.40, 1 Tl 3.22, 3 Pb 3.39-3.45, 2 In 3.46
Tl  0.9745  0.9745  0.1543  5 Mg 3.21-3.40, 1 Tl 3.22, 3 Pb 3.39-3.45, 2 In 3.46
In  0.4098  0.4098  0.3673  4 Mg 3.00-3.21, 1 In 3.04, 1 Pb 3.36
In  0.5902  0.5902  0.6327  4 Mg 3.00-3.21, 1 In 3.04, 1 Pb 3.36
Pb  0.3139  0.3139  0.7490  6 Mg 3.27-3.44, 3 In 3.36-3.57, 3 Tl 3.39-3.45
Pb  0.6861  0.6861  0.2510  6 Mg 3.27-3.44, 3 In 3.36-3.57, 3 Tl 3.39-3.45

Record 7
Density functional theory data (PBE) for a relaxed SmDy5Er2Th crystal.

## Properties
Density   8.57 g cm⁻³
Calculated volume   592.6 Å³/cell
Electronic total energy   -4.7572 eV/atom
Space group   Cmc2_1, No. 36

a = 11.0869 Å, b = 11.0869 Å, c = 9.7040 Å
α = 90.00°, β = 90.00°, γ = 150.21°
Closest atoms and distances in Å follow each position.
Atoms (fractional coordinates):
Sm  0.1897  0.8103  0.5000  2 Er 3.25-3.43, 5 Dy 3.43-3.52
Sm  0.8103  0.1897  0.0000  2 Er 3.25-3.43, 5 Dy 3.43-3.52
Dy  0.0142  0.9858  0.4995  2 Er 3.33-3.58, 2 Th 3.44, 2 Dy 3.59
Dy  0.2730  0.7270  0.1968  1 Th 3.03, 1 Er 3.36
Dy  0.3043  0.6957  0.8042  2 Sm 3.43, 4 Dy 3.46-3.77, 3 Er 3.51-3.78, 1 Th 3.60
Dy  0.3994  0.6006  0.4773  2 Dy 3.27-3.44, 4 Er 3.35-3.51
Dy  0.4680  0.5320  0.7777  2 Th 3.20-3.37, 3 Dy 3.27-3.52, 2 Er 3.49
Dy  0.5320  0.4680  0.2777  2 Th 3.20-3.37, 3 Dy 3.27-3.52, 2 Er 3.49
Dy  0.6006  0.3994  0.9773  2 Dy 3.27-3.44, 4 Er 3.35-3.51
Dy  0.6957  0.3043  0.3042  2 Sm 3.43, 4 Dy 3.46-3.77, 3 Er 3.51-3.78, 1 Th 3.60
Dy  0.7270  0.2730  0.6968  1 Th 3.03, 1 Er 3.36
Dy  0.9858  0.0142  0.9995  2 Er 3.33-3.58, 2 Th 3.44, 2 Dy 3.59
Er  0.1163  0.8837  0.1861  8 Dy 3.33-3.51, 1 Sm 3.43, 1 Er 3.70
Er  0.1280  0.8720  0.8056  1 Sm 3.25, 3 Dy 3.35-3.58, 2 Th 3.57
Er  0.8720  0.1280  0.3056  1 Sm 3.25, 3 Dy 3.35-3.58, 2 Th 3.57
Er  0.8837  0.1163  0.6861  8 Dy 3.33-3.51, 1 Sm 3.43, 1 Er 3.70
Th  0.4071  0.5929  0.0973  3 Dy 3.03-3.37
Th  0.5929  0.4071  0.5973  3 Dy 3.03-3.37

Record 8
Density functional theory data (PBE) for a relaxed Ti4Ga3Tc crystal.

## Properties
Density   6.56 g cm⁻³
Calculated volume   126.2 Å³/cell
Electronic total energy   -6.8228 eV/atom
Space group   P4/mmm, No. 123

a = 3.1287 Å, b = 3.1287 Å, c = 12.8892 Å
α = 90.00°, β = 90.00°, γ = 90.00°
Closest atoms and distances in Å follow each position.
Atoms (fractional coordinates):
Ti  0.0000  0.0000  0.1123  4 Tc 2.64, 4 Ga 2.74, 1 Ti 2.89
Ti  0.0000  0.0000  0.3679  8 Ga 2.78-2.79
Ti  0.0000  0.0000  0.6321  8 Ga 2.78-2.79
Ti  0.0000  0.0000  0.8877  4 Tc 2.64, 4 Ga 2.74, 1 Ti 2.89
Ga  0.5000  0.5000  0.2377  8 Ti 2.74-2.78, 1 Tc 3.06
Ga  0.5000  0.5000  0.5000  8 Ti 2.79
Ga  0.5000  0.5000  0.7623  8 Ti 2.74-2.78, 1 Tc 3.06
Tc  0.5000  0.5000  0.0000  8 Ti 2.64

Record 9
Density functional theory data (PBE) for a relaxed Li9In2Hg3 crystal.

## Properties
Density   5.80 g cm⁻³
Calculated volume   255.8 Å³/cell
Electronic total energy   -1.8543 eV/atom
Space group   Immm, No. 71

a = 8.3511 Å, b = 8.3511 Å, c = 8.3511 Å
α = 147.83°, β = 123.36°, γ = 66.64°
Closest atoms and distances in Å follow each position.
Atoms (fractional coordinates):
Li  0.0000  0.0000  0.0000  4 Li 2.64, 4 In 2.95
Li  0.1121  0.8699  0.2422  4 Li 2.55-2.64, 1 Hg 2.73
Li  0.1545  0.3057  0.8488  4 Li 2.40-2.62
Li  0.3723  0.1301  0.2422  4 Li 2.55-2.64, 1 Hg 2.73
Li  0.4569  0.3057  0.1512  4 Li 2.40-2.62
Li  0.5431  0.6943  0.8488  4 Li 2.40-2.62
Li  0.6277  0.8699  0.7578  4 Li 2.55-2.64, 1 Hg 2.73
Li  0.8455  0.6943  0.1512  4 Li 2.40-2.62
Li  0.8879  0.1301  0.7578  4 Li 2.55-2.64, 1 Hg 2.73
In  0.2317  0.5000  0.7317  8 Li 2.87-2.95, 2 Hg 3.14
In  0.7683  0.5000  0.2683  8 Li 2.87-2.95, 2 Hg 3.14
Hg  0.1950  0.6950  0.5000  6 Li 2.76-3.03
Hg  0.5000  0.0000  0.5000  4 Li 2.73
Hg  0.8050  0.3050  0.5000  6 Li 2.76-3.03

Record 10
Density functional theory data (PBE) for a relaxed MgCd3In2 crystal.

## Properties
Density   6.59 g cm⁻³
Calculated volume   298.1 Å³/cell
Electronic total energy   -1.6076 eV/atom
Space group   C2/c, No. 15
Energy relative to the lowest polymorph listed for this composition   0.27 eV per formula unit

a = 7.1670 Å, b = 7.1670 Å, c = 6.0231 Å
α = 95.20°, β = 95.20°, γ = 103.09°
Closest atoms and distances in Å follow each position.
Atoms (fractional coordinates):
Mg  0.0554  0.9446  0.7500  5 Cd 2.99-3.24, 2 Mg 3.26
Mg  0.9446  0.0554  0.2500  5 Cd 2.99-3.24, 2 Mg 3.26
Cd  0.2860  0.3260  0.0265  4 Cd 3.02-3.13, 2 Mg 3.10-3.24, 2 In 3.12-3.19
Cd  0.3215  0.6785  0.7500  1 Mg 2.99, 4 Cd 3.02-3.13, 4 In 3.04-3.15
Cd  0.3260  0.2860  0.5265  4 Cd 3.02-3.13, 2 Mg 3.10-3.24, 2 In 3.12-3.19
Cd  0.6740  0.7140  0.4735  4 Cd 3.02-3.13, 2 Mg 3.10-3.24, 2 In 3.12-3.19
Cd  0.6785  0.3215  0.2500  1 Mg 2.99, 4 Cd 3.02-3.13, 4 In 3.04-3.15
Cd  0.7140  0.6740  0.9735  4 Cd 3.02-3.13, 2 Mg 3.10-3.24, 2 In 3.12-3.19
In  0.0719  0.5992  0.2783  2 In 3.00-3.28, 4 Cd 3.04-3.19
In  0.4008  0.9281  0.2217  2 In 3.00-3.28, 4 Cd 3.04-3.19
In  0.5992  0.0719  0.7783  2 In 3.00-3.28, 4 Cd 3.04-3.19
In  0.9281  0.4008  0.7217  2 In 3.00-3.28, 4 Cd 3.04-3.19

Question: Which value of density does entry 5 give?
Answer: 8.45 g cm⁻³